Material: Ta2Sn
Method: DFT, PBE
State: relaxed

E in eV per atom: -5.377

a = 12.5677 Å, b = 12.5677 Å, c = 12.5677 Å
α = 90.00°, β = 90.00°, γ = 90.00°
Space group Fd-3m (No. 227, origin choice 2)
Symmetry-distinct sites (fractional):
Ta 0.0000 0.0000 0.0000 [16 per cell]
Sn 0.1250 0.1250 0.1250 [8 per cell]

---

Material: SmTlNO
Method: DFT, PBE
State: relaxed

Excess energy over the best structure of this formula in the dataset in meV per atom: 100

a = 5.2026 Å, b = 5.2026 Å, c = 4.7847 Å
α = 90.00°, β = 90.00°, γ = 90.00°
Space group P4/nmm (No. 129, origin choice 2)
Symmetry-distinct sites (fractional):
Sm 0.2500 0.7500 0.0000 [2 per cell]
Tl 0.2500 0.2500 0.4994 [2 per cell]
N 0.2500 0.2500 0.9993 [2 per cell]
O 0.2500 0.7500 0.5000 [2 per cell]

---

Material: Gd2YAlC
Method: DFT, PBE
State: relaxed

E in eV per atom: -6.111

a = 4.9353 Å, b = 4.9353 Å, c = 4.9080 Å
α = 90.00°, β = 90.00°, γ = 90.00°
Space group P4/mmm (No. 123)
Symmetry-distinct sites (fractional):
Gd 0.0000 0.5000 0.0000 [2 per cell]
Y 0.0000 0.0000 0.5000 [1 per cell]
Al 0.5000 0.5000 0.5000 [1 per cell]
C 0.0000 0.0000 0.0000 [1 per cell]

---

Material: MgTaPd
Method: DFT, PBE
State: relaxed

E in eV per atom: -5.508

a = 6.2459 Å, b = 6.2459 Å, c = 6.2459 Å
α = 90.00°, β = 90.00°, γ = 90.00°
Space group F-43m (No. 216)
Symmetry-distinct sites (fractional):
Mg 0.0000 0.0000 0.0000 [4 per cell]
Ta 0.2500 0.2500 0.2500 [4 per cell]
Pd 0.0000 0.0000 0.5000 [4 per cell]

---

no.,V (Å³/atom)
1,82.71
2,16.19
3,23.91
4,20.31